## 1
A relaxed structure of BaFeNi2. Source: Alexandria via LeMat-Bulk, functional GGA-PBEsol.

Properties
M_tot (μB/f.u.): 2.6
DOS at the Fermi energy (states/eV/cell): 15.65

Geometry as CIF:
```
data_BaFeNi2
_cell_length_a 6.3887
_cell_length_b 6.3887
_cell_length_c 6.3887
_cell_angle_alpha 90.00
_cell_angle_beta 90.00
_cell_angle_gamma 90.00
_space_group_name_H-M_alt 'F -4 3 m'
_space_group_IT_number 216
_space_group_name_Hall 'F -4 2 3'
loop_
_atom_site_label
_atom_site_fract_x
_atom_site_fract_y
_atom_site_fract_z
Ba1 0.0000 0.0000 0.0000
Fe1 0.2500 0.2500 0.2500
Ni1 0.0000 0.0000 0.5000
Ni2 0.2500 0.2500 0.7500
```


## 2
A relaxed structure of BaFeNi2. Source: Alexandria via LeMat-Bulk, functional GGA-PBEsol.

Properties
M_tot (μB/f.u.): 3.7
DOS at the Fermi energy (states/eV/cell): 4.57

Geometry as CIF:
```
data_BaFeNi2
_cell_length_a 3.1238
_cell_length_b 3.1238
_cell_length_c 7.0757
_cell_angle_alpha 90.00
_cell_angle_beta 90.00
_cell_angle_gamma 90.00
_space_group_name_H-M_alt 'P 4 m m'
_space_group_IT_number 99
loop_
_space_group_symop_operation_xyz
'x,y,z'
'-y,x,z'
'-x,-y,z'
'y,-x,z'
'-x,y,z'
'y,x,z'
'x,-y,z'
'-y,-x,z'
loop_
_atom_site_label
_atom_site_fract_x
_atom_site_fract_y
_atom_site_fract_z
Ba1 0.0000 0.0000 0.0000
Fe1 0.5000 0.5000 0.3667
Ni1 0.0000 0.0000 0.5041
Ni2 0.5000 0.5000 0.6826
```


Best to worst by energy: 2, 1.


## 1
A relaxed structure of BaSr4Fe5O10. Source: Alexandria via LeMat-Bulk, functional GGA-PBEsol.

Properties
M_tot (μB/f.u.): 14.7
DOS at the Fermi energy (states/eV/cell): 9.89

Geometry as CIF:
```
data_BaSr4Fe5O10
_cell_length_a 5.2625
_cell_length_b 3.8402
_cell_length_c 13.1964
_cell_angle_alpha 90.00
_cell_angle_beta 97.44
_cell_angle_gamma 90.00
_space_group_name_H-M_alt 'P 1 2/m 1'
_space_group_IT_number 10
loop_
_space_group_symop_operation_xyz
'x,y,z'
'-x,-y,-z'
'-x,y,-z'
'x,-y,z'
loop_
_atom_site_label
_atom_site_fract_x
_atom_site_fract_y
_atom_site_fract_z
Ba1 0.0000 0.0000 0.0000
Sr1 0.1988 0.0000 0.4034
Sr2 0.4186 0.0000 0.7973
Fe1 0.0768 0.5000 0.2101
Fe2 0.3011 0.5000 0.6008
Fe3 0.5000 0.5000 0.0000
O1 0.0000 0.5000 0.5000
O2 0.0807 0.0000 0.2103
O3 0.2239 0.5000 0.8900
O4 0.3022 0.0000 0.6004
O5 0.3888 0.5000 0.3038
O6 0.5000 0.0000 0.0000
```


## 2
A relaxed structure of BaSr4Fe5O10. Source: Alexandria via LeMat-Bulk, functional GGA-PBEsol.

Properties
M_tot (μB/f.u.): 2.6
DOS at the Fermi energy (states/eV/cell): 13.13

Geometry as CIF:
```
data_BaSr4Fe5O10
_cell_length_a 3.8052
_cell_length_b 3.8052
_cell_length_c 18.2496
_cell_angle_alpha 90.00
_cell_angle_beta 90.00
_cell_angle_gamma 90.00
_space_group_name_H-M_alt 'P 4/m m m'
_space_group_IT_number 123
_space_group_name_Hall '-P 4 2'
loop_
_atom_site_label
_atom_site_fract_x
_atom_site_fract_y
_atom_site_fract_z
Ba1 0.0000 0.0000 0.0000
Sr1 0.0000 0.0000 0.2069
Sr2 0.0000 0.0000 0.4024
Fe1 0.5000 0.5000 0.1109
Fe2 0.5000 0.5000 0.3053
Fe3 0.5000 0.5000 0.5000
O1 0.0000 0.5000 0.1116
O2 0.0000 0.5000 0.3053
O3 0.0000 0.5000 0.5000
```


Best to worst by energy: 1, 2.


## 1
A relaxed structure of BaYFe4O7. Source: Alexandria via LeMat-Bulk, functional GGA-PBEsol.

Properties
M_tot (μB/f.u.): 17.0
DOS at the Fermi energy (states/eV/cell): 20.39

Geometry as CIF:
```
data_BaYFe4O7
_cell_length_a 6.1973
_cell_length_b 6.1973
_cell_length_c 9.0632
_cell_angle_alpha 90.00
_cell_angle_beta 90.00
_cell_angle_gamma 90.00
_space_group_name_H-M_alt 'I -4'
_space_group_IT_number 82
loop_
_space_group_symop_operation_xyz
'x,y,z'
'y,-x,-z'
'-x,-y,z'
'-y,x,-z'
'x+1/2,y+1/2,z+1/2'
'y+1/2,-x+1/2,-z+1/2'
'-x+1/2,-y+1/2,z+1/2'
'-y+1/2,x+1/2,-z+1/2'
loop_
_atom_site_label
_atom_site_fract_x
_atom_site_fract_y
_atom_site_fract_z
Ba1 0.0000 0.0000 0.0000
Y1 0.0000 0.5000 0.7500
Fe1 0.0172 0.2681 0.3638
O1 0.0000 0.0000 0.5000
O2 0.0000 0.5000 0.5037
O3 0.1989 0.2041 0.7773
```


## 2
A relaxed structure of BaYFe4O7. Source: Alexandria via LeMat-Bulk, functional GGA-PBEsol.

Properties
M_tot (μB/f.u.): 17.0
DOS at the Fermi energy (states/eV/cell): 10.08

Geometry as CIF:
```
data_BaYFe4O7
_cell_length_a 6.2148
_cell_length_b 6.2148
_cell_length_c 10.5923
_cell_angle_alpha 90.00
_cell_angle_beta 90.00
_cell_angle_gamma 120.00
_space_group_name_H-M_alt 'P 63 m c'
_space_group_IT_number 186
_space_group_name_Hall 'P 6c -2c'
loop_
_atom_site_label
_atom_site_fract_x
_atom_site_fract_y
_atom_site_fract_z
Ba1 0.3333 0.6667 0.0000
Y1 0.3333 0.6667 0.5973
Fe1 0.0000 0.0000 0.0519
Fe2 0.1862 0.3725 0.2996
O1 0.0000 0.0000 0.2323
O2 0.0138 0.5069 0.2068
O3 0.1617 0.3235 0.4768
```


Best to worst by energy: 1, 2.